1.
Here is a relaxed structure of TiWN3 from Alexandria. Energies are from GGA-PBEsol.

It has space group Pm-3m (No. 221), with a = 3.885 Å, b = 3.885 Å, c = 3.885 Å, α = 90.00°, β = 90.00° and γ = 90.00°. The inequivalent atoms are Ti at (0.000, 0.000, 0.000), W at (0.500, 0.500, 0.500) and N at (0.000, 0.500, 0.500).

As for the formation energy without anion corrections: -22 kJ/mol of formula units. As for the volume: 11.728 A^3/atom. The total magnetization comes out at 0.156 μB/atom. For the final energy, the calculation gives -9.59 eV/atom.

---

2.
Here is a relaxed structure of NbCrPdN2 from Alexandria. Energies are from GGA-PBEsol.

It has space group P4/mmm (No. 123), with a = 3.770 Å, b = 3.770 Å, c = 5.230 Å, α = 90.00°, β = 90.00° and γ = 90.00°. The inequivalent atoms are Nb at (0.000, 0.000, 0.000), Cr at (0.500, 0.500, 0.000), Pd at (0.000, 0.000, 0.500) and N at (0.000, 0.500, 0.500).

As for the formation energy without anion corrections: 914 kJ/mol of formula units. As for the volume: 14.866 A^3/atom. The total magnetization comes out at 0.372 μB/atom. For the final energy, the calculation gives -6.92 eV/atom.

---

3.
Here is a relaxed structure of CuSeCl2 from Alexandria. Energies are from GGA-PBEsol.

It has space group I-4m2 (No. 119), with a = 3.545 Å, b = 3.545 Å, c = 13.308 Å, α = 90.00°, β = 90.00° and γ = 90.00°. The inequivalent atoms are Cu at (0.000, 0.000, 0.000), Se at (0.000, 0.500, 0.250), Cl at (0.000, 0.000, 0.500) and Cl at (0.000, 0.500, 0.750).

As for the formation energy without anion corrections: 66 kJ/mol of formula units. As for the volume: 20.904 A^3/atom. The total magnetization comes out at 0.000 μB/atom. For the final energy, the calculation gives -2.88 eV/atom.

---

> What is the formation energy without anion corrections in the first record?

-22 kJ/mol of formula units

---

> Look up the total magnetization of the third one.

0.000 μB/atom